*P*
Computed, not measured: a relaxed structure of Mn2GePd8 at the PBE level of DFT.

CIF file:
```
data_Mn2GePd8
_chemical_formula_sum 'Mn2 Ge1 Pd8'
_symmetry_space_group_name_H-M 'P 1'
_symmetry_Int_Tables_number 1
_cell_length_a 6.951
_cell_length_b 6.951
_cell_length_c 6.951
_cell_angle_alpha 143.94
_cell_angle_beta 118.19
_cell_angle_gamma 73.69
loop_
_symmetry_equiv_pos_as_xyz
'x,y,z'
loop_
_atom_site_label
_atom_site_fract_x
_atom_site_fract_y
_atom_site_fract_z
Mn1 0.202 0.202 0.000
Mn2 0.798 0.798 0.000
Ge1 0.500 0.500 0.000
Pd1 0.066 0.349 0.717
Pd2 0.184 0.000 0.184
Pd3 0.362 0.862 0.500
Pd4 0.368 0.651 0.717
Pd5 0.632 0.349 0.283
Pd6 0.638 0.138 0.500
Pd7 0.816 0.000 0.816
Pd8 0.934 0.651 0.283
```

Output
The crystal system is orthorhombic. The value obtained for the magnetic moment is 9.1 μB/f.u.

*Q*
Computed, not measured: a relaxed structure of Mn2GePd8 at the PBE level of DFT.

CIF file:
```
data_Mn2GePd8
_chemical_formula_sum 'Mn2 Ge1 Pd8'
_symmetry_space_group_name_H-M 'P 1'
_symmetry_Int_Tables_number 1
_cell_length_a 8.201
_cell_length_b 8.201
_cell_length_c 7.099
_cell_angle_alpha 103.35
_cell_angle_beta 103.35
_cell_angle_gamma 20.37
loop_
_symmetry_equiv_pos_as_xyz
'x,y,z'
loop_
_atom_site_label
_atom_site_fract_x
_atom_site_fract_y
_atom_site_fract_z
Mn1 0.248 0.248 0.102
Mn2 0.752 0.752 0.898
Ge1 0.500 0.500 0.500
Pd1 0.037 0.037 0.238
Pd2 0.133 0.133 0.644
Pd3 0.307 0.307 0.642
Pd4 0.396 0.396 0.031
Pd5 0.604 0.604 0.969
Pd6 0.693 0.693 0.358
Pd7 0.867 0.867 0.356
Pd8 0.963 0.963 0.762
```

Output
The crystal system is monoclinic. The value obtained for the magnetic moment is 0.0 μB/f.u.

*P* ends up most stable, edging out the next structure by 11.4 kJ/mol of atoms.

*P*
Computed, not measured: a relaxed structure of Pm2MnGe3 at the PBE level of DFT.

CIF file:
```
data_Pm2MnGe3
_chemical_formula_sum 'Pm2 Mn1 Ge3'
_symmetry_space_group_name_H-M 'P 1'
_symmetry_Int_Tables_number 1
_cell_length_a 6.494
_cell_length_b 6.494
_cell_length_c 6.494
_cell_angle_alpha 140.10
_cell_angle_beta 126.23
_cell_angle_gamma 69.01
loop_
_symmetry_equiv_pos_as_xyz
'x,y,z'
loop_
_atom_site_label
_atom_site_fract_x
_atom_site_fract_y
_atom_site_fract_z
Pm1 0.186 0.186 0.000
Pm2 0.814 0.814 0.000
Mn1 0.500 0.500 0.000
Ge1 0.000 0.500 0.500
Ge2 0.378 0.878 0.500
Ge3 0.622 0.122 0.500
```

Output
The crystal system is orthorhombic. The value obtained for the magnetic moment is 3.3 μB/f.u.

*Q*
Computed, not measured: a relaxed structure of Pm2MnGe3 at the PBE level of DFT.

CIF file:
```
data_Pm2MnGe3
_chemical_formula_sum 'Pm2 Mn1 Ge3'
_symmetry_space_group_name_H-M 'P 1'
_symmetry_Int_Tables_number 1
_cell_length_a 5.871
_cell_length_b 5.871
_cell_length_c 7.290
_cell_angle_alpha 127.97
_cell_angle_beta 127.97
_cell_angle_gamma 42.72
loop_
_symmetry_equiv_pos_as_xyz
'x,y,z'
loop_
_atom_site_label
_atom_site_fract_x
_atom_site_fract_y
_atom_site_fract_z
Pm1 0.000 0.000 0.000
Pm2 0.108 0.108 0.632
Mn1 0.385 0.385 0.222
Ge1 0.365 0.365 0.560
Ge2 0.673 0.673 0.410
Ge3 0.744 0.744 0.054
```

Output
The crystal system is monoclinic. The value obtained for the magnetic moment is 2.9 μB/f.u.

*Q* ends up most stable, edging out the next structure by 13.3 kJ/mol of atoms.

*P*
Computed, not measured: a relaxed structure of MnGePt3 at the PBE level of DFT.

CIF file:
```
data_MnGePt3
_chemical_formula_sum 'Mn1 Ge1 Pt3'
_symmetry_space_group_name_H-M 'P 1'
_symmetry_Int_Tables_number 1
_cell_length_a 4.637
_cell_length_b 4.637
_cell_length_c 4.637
_cell_angle_alpha 90.00
_cell_angle_beta 90.00
_cell_angle_gamma 90.00
loop_
_symmetry_equiv_pos_as_xyz
'x,y,z'
loop_
_atom_site_label
_atom_site_fract_x
_atom_site_fract_y
_atom_site_fract_z
Mn1 0.000 0.000 0.000
Ge1 0.500 0.500 0.500
Pt1 0.000 0.500 0.500
Pt2 0.500 0.000 0.500
Pt3 0.500 0.500 0.000
```

Output
The crystal system is cubic. The value obtained for the magnetic moment is 4.8 μB/f.u.

*Q*
Computed, not measured: a relaxed structure of MnGePt3 at the PBE level of DFT.

CIF file:
```
data_MnGePt3
_chemical_formula_sum 'Mn1 Ge1 Pt3'
_symmetry_space_group_name_H-M 'P 1'
_symmetry_Int_Tables_number 1
_cell_length_a 4.586
_cell_length_b 4.586
_cell_length_c 4.586
_cell_angle_alpha 90.00
_cell_angle_beta 90.00
_cell_angle_gamma 90.00
loop_
_symmetry_equiv_pos_as_xyz
'x,y,z'
loop_
_atom_site_label
_atom_site_fract_x
_atom_site_fract_y
_atom_site_fract_z
Mn1 0.000 0.000 0.000
Ge1 0.500 0.500 0.500
Pt1 0.000 0.000 0.500
Pt2 0.000 0.500 0.000
Pt3 0.500 0.000 0.000
```

Output
The crystal system is cubic. The value obtained for the magnetic moment is 0.0 μB/f.u.

*P* ends up most stable, edging out the next structure by 43.4 kJ/mol of atoms.

*P*
Computed, not measured: a relaxed structure of Pu4Mn4Ge at the PBE level of DFT.

CIF file:
```
data_Pu4Mn4Ge
_chemical_formula_sum 'Pu8 Mn8 Ge2'
_symmetry_space_group_name_H-M 'P 1'
_symmetry_Int_Tables_number 1
_cell_length_a 7.817
_cell_length_b 4.677
_cell_length_c 10.777
_cell_angle_alpha 90.00
_cell_angle_beta 122.48
_cell_angle_gamma 90.00
loop_
_symmetry_equiv_pos_as_xyz
'x,y,z'
loop_
_atom_site_label
_atom_site_fract_x
_atom_site_fract_y
_atom_site_fract_z
Pu1 0.186 0.118 0.192
Pu2 0.186 0.882 0.692
Pu3 0.264 0.375 0.925
Pu4 0.264 0.625 0.425
Pu5 0.736 0.375 0.575
Pu6 0.736 0.625 0.075
Pu7 0.814 0.118 0.308
Pu8 0.814 0.882 0.808
Mn1 0.131 0.348 0.602
Mn2 0.131 0.652 0.102
Mn3 0.342 0.089 0.506
Mn4 0.342 0.911 0.006
Mn5 0.658 0.089 0.994
Mn6 0.658 0.911 0.494
Mn7 0.869 0.348 0.898
Mn8 0.869 0.652 0.398
Ge1 0.500 0.381 0.750
Ge2 0.500 0.619 0.250
```

Output
The crystal system is monoclinic. The value obtained for the magnetic moment is 13.0 μB/f.u.

*Q*
Computed, not measured: a relaxed structure of Pu4Mn4Ge at the PBE level of DFT.

CIF file:
```
data_Pu4Mn4Ge
_chemical_formula_sum 'Pu4 Mn4 Ge1'
_symmetry_space_group_name_H-M 'P 1'
_symmetry_Int_Tables_number 1
_cell_length_a 6.509
_cell_length_b 6.509
_cell_length_c 6.509
_cell_angle_alpha 96.29
_cell_angle_beta 96.29
_cell_angle_gamma 141.34
loop_
_symmetry_equiv_pos_as_xyz
'x,y,z'
loop_
_atom_site_label
_atom_site_fract_x
_atom_site_fract_y
_atom_site_fract_z
Pu1 0.168 0.169 0.337
Pu2 0.169 0.832 0.001
Pu3 0.831 0.168 0.999
Pu4 0.832 0.831 0.663
Mn1 0.150 0.500 0.650
Mn2 0.500 0.150 0.650
Mn3 0.500 0.850 0.350
Mn4 0.850 0.500 0.350
Ge1 0.500 0.500 0.000
```

Output
The crystal system is tetragonal. The value obtained for the magnetic moment is 9.5 μB/f.u.

*Q* ends up most stable, edging out the next structure by 2.5 kJ/mol of atoms.

*P*
Computed, not measured: a relaxed structure of PuMnGe2 at the PBE level of DFT.

CIF file:
```
data_PuMnGe2
_chemical_formula_sum 'Pu1 Mn1 Ge2'
_symmetry_space_group_name_H-M 'P 1'
_symmetry_Int_Tables_number 1
_cell_length_a 5.714
_cell_length_b 5.714
_cell_length_c 5.714
_cell_angle_alpha 42.45
_cell_angle_beta 42.45
_cell_angle_gamma 42.45
loop_
_symmetry_equiv_pos_as_xyz
'x,y,z'
loop_
_atom_site_label
_atom_site_fract_x
_atom_site_fract_y
_atom_site_fract_z
Pu1 0.000 0.000 0.000
Mn1 0.500 0.500 0.500
Ge1 0.223 0.223 0.223
Ge2 0.777 0.777 0.777
```

Output
The crystal system is trigonal. The value obtained for the magnetic moment is 7.9 μB/f.u.

*Q*
Computed, not measured: a relaxed structure of PuMnGe2 at the PBE level of DFT.

CIF file:
```
data_PuMnGe2
_chemical_formula_sum 'Pu1 Mn1 Ge2'
_symmetry_space_group_name_H-M 'P 1'
_symmetry_Int_Tables_number 1
_cell_length_a 4.760
_cell_length_b 4.760
_cell_length_c 4.760
_cell_angle_alpha 60.00
_cell_angle_beta 60.00
_cell_angle_gamma 60.00
loop_
_symmetry_equiv_pos_as_xyz
'x,y,z'
loop_
_atom_site_label
_atom_site_fract_x
_atom_site_fract_y
_atom_site_fract_z
Pu1 0.000 0.000 0.000
Mn1 0.500 0.500 0.500
Ge1 0.250 0.250 0.250
Ge2 0.750 0.750 0.750
```

Output
The crystal system is cubic. The value obtained for the magnetic moment is 8.9 μB/f.u.

*P* ends up most stable, edging out the next structure by 15.9 kJ/mol of atoms.

*P*
Computed, not measured: a relaxed structure of PuMnGe2 at the PBE level of DFT.

CIF file:
```
data_PuMnGe2
_chemical_formula_sum 'Pu1 Mn1 Ge2'
_symmetry_space_group_name_H-M 'P 1'
_symmetry_Int_Tables_number 1
_cell_length_a 3.094
_cell_length_b 3.094
_cell_length_c 7.013
_cell_angle_alpha 90.00
_cell_angle_beta 90.00
_cell_angle_gamma 90.00
loop_
_symmetry_equiv_pos_as_xyz
'x,y,z'
loop_
_atom_site_label
_atom_site_fract_x
_atom_site_fract_y
_atom_site_fract_z
Pu1 0.000 0.000 0.000
Mn1 0.000 0.000 0.500
Ge1 0.500 0.500 0.303
Ge2 0.500 0.500 0.697
```

Output
The crystal system is tetragonal. The value obtained for the magnetic moment is 6.8 μB/f.u.

*Q*
Computed, not measured: a relaxed structure of PuMnGe2 at the PBE level of DFT.

CIF file:
```
data_PuMnGe2
_chemical_formula_sum 'Pu1 Mn1 Ge2'
_symmetry_space_group_name_H-M 'P 1'
_symmetry_Int_Tables_number 1
_cell_length_a 4.434
_cell_length_b 4.434
_cell_length_c 3.938
_cell_angle_alpha 90.00
_cell_angle_beta 90.00
_cell_angle_gamma 90.00
loop_
_symmetry_equiv_pos_as_xyz
'x,y,z'
loop_
_atom_site_label
_atom_site_fract_x
_atom_site_fract_y
_atom_site_fract_z
Pu1 0.000 0.000 0.000
Mn1 0.500 0.500 0.000
Ge1 0.000 0.500 0.500
Ge2 0.500 0.000 0.500
```

Output
The crystal system is tetragonal. The value obtained for the magnetic moment is 9.2 μB/f.u.

*P* ends up most stable, edging out the next structure by 8.3 kJ/mol of atoms.